DFT (PBE) results for crystalline K2GaAuCl6 at its relaxed geometry.

The value obtained for the total magnetic moment is 0.00 μB/f.u. The density of states at the Fermi level comes out at 0.0 states/eV/f.u. As for the formation energy without anion corrections: -1.317 eV/atom. As for the excess energy over the best structure of this formula in the dataset: 0.00 eV/f.u.

It has space group P1 (No. 1), with a = 6.473 Å, b = 6.760 Å, c = 8.813 Å, α = 67.68°, β = 84.79° and γ = 77.17°. The asymmetric unit holds K at (0.000, 0.000, 0.000), K at (0.475, 0.776, 0.471), Ga at (0.816, 0.259, 0.395), Au at (0.407, 0.370, 0.950), Cl at (0.314, 0.740, 0.814), Cl at (0.468, 0.307, 0.417), Cl at (0.499, 0.997, 0.080), Cl at (0.913, 0.468, 0.153), Cl at (0.921, 0.334, 0.594) and Cl at (0.947, 0.916, 0.416).

DFT (PBE) results for crystalline KGa2AuCl8 at its relaxed geometry.

The value obtained for the total magnetic moment is 0.00 μB/f.u. As for the formation energy without anion corrections: -1.078 eV/atom.

It has space group C2/m (No. 12), with a = 13.360 Å, b = 6.990 Å, c = 8.296 Å, α = 90.00°, β = 112.29° and γ = 90.00°. The asymmetric unit holds K at (0.000, 0.000, 0.000), Ga at (0.196, 0.000, 0.670), Au at (0.000, 0.500, 0.500), Cl at (0.114, 0.249, 0.741), Cl at (0.133, 0.500, 0.164) and Cl at (0.173, 0.000, 0.397).

DFT (PBE) results for crystalline KGa2AuCl at its relaxed geometry.

The value obtained for the total magnetic moment is 0.00 μB/f.u. The density of states at the Fermi level comes out at 4.6 states/eV/f.u. As for the formation energy without anion corrections: 0.618 eV/atom.

It has space group P4/mmm (No. 123), with a = 6.399 Å, b = 6.399 Å, c = 5.599 Å, α = 90.00°, β = 90.00° and γ = 90.00°. The asymmetric unit holds K at (0.000, 0.000, 0.000), Ga at (0.000, 0.500, 0.000), Au at (0.000, 0.000, 0.500) and Cl at (0.500, 0.500, 0.500).

DFT (PBE) results for crystalline GaNiAu2Cl at its relaxed geometry.

The value obtained for the total magnetic moment is 0.00 μB/f.u. The density of states at the Fermi level comes out at 5.2 states/eV/f.u. As for the formation energy without anion corrections: 0.579 eV/atom.

It has space group P4/mmm (No. 123), with a = 4.900 Å, b = 4.900 Å, c = 4.569 Å, α = 90.00°, β = 90.00° and γ = 90.00°. The asymmetric unit holds Ga at (0.000, 0.000, 0.000), Ni at (0.000, 0.000, 0.500), Au at (0.000, 0.500, 0.000) and Cl at (0.500, 0.500, 0.500).

Question: Look up the total magnetic moment of the third one.
Answer: 0.00 μB/f.u.

What did the second record say?
DFT (PBE) results for crystalline KGa2AuCl8 at its relaxed geometry.

The value obtained for the total magnetic moment is 0.00 μB/f.u. As for the formation energy without anion corrections: -1.078 eV/atom.

It has space group C2/m (No. 12), with a = 13.360 Å, b = 6.990 Å, c = 8.296 Å, α = 90.00°, β = 112.29° and γ = 90.00°. The asymmetric unit holds K at (0.000, 0.000, 0.000), Ga at (0.196, 0.000, 0.670), Au at (0.000, 0.500, 0.500), Cl at (0.114, 0.249, 0.741), Cl at (0.133, 0.500, 0.164) and Cl at (0.173, 0.000, 0.397).

Question: Which of these has the lowest formation energy without anion corrections?
Answer: K2GaAuCl6